# 1
Here is Pr3DyCd after structural relaxation from the Alexandria database. Energies are from PBE.

Results
Its formation energy is -104 meV per atom. The total moment comes out at 0.0 Bohr magnetons per cell. The calculation puts the uncorrected energy at -4.075 eV per atom. The volume comes out at 323.52 Å³ per cell. Its energy relative to the lowest polymorph listed for this composition is 0 meV per atom.

Unit cell a=3.777 b=8.874 c=10.108 alpha=76.68 beta=100.77 gamma=90.00
Fractional coordinates of all 10 atoms:
Pr 0.995 0.287 0.990
Pr 0.005 0.713 0.010
Pr 0.402 0.034 0.804
Pr 0.598 0.966 0.196
Pr 0.187 0.624 0.375
Pr 0.813 0.376 0.625
Dy 0.794 0.834 0.589
Dy 0.206 0.166 0.411
Cd 0.606 0.415 0.212
Cd 0.394 0.585 0.788

=====

# 2
Here is Pr6Dy2Cd after structural relaxation from the Alexandria database. Energies are from PBE.

Results
Its formation energy is -11 meV per atom. The total moment comes out at 0.0 Bohr magnetons per cell. The calculation puts the uncorrected energy at -4.322 eV per atom. The volume comes out at 604.77 Å³ per cell. Its energy relative to the lowest polymorph listed for this composition is 0 meV per atom.

Unit cell a=5.317 b=10.666 c=10.665 alpha=90.00 beta=90.01 gamma=90.00
Fractional coordinates of all 18 atoms:
Pr 0.000 0.021 0.174
Pr 0.000 0.675 0.521
Pr 0.000 0.641 0.859
Pr 0.500 0.141 0.641
Pr 0.500 0.174 0.979
Pr 0.500 0.521 0.326
Pr 0.000 0.979 0.826
Pr 0.000 0.325 0.479
Pr 0.000 0.359 0.141
Pr 0.500 0.859 0.359
Pr 0.500 0.826 0.021
Pr 0.500 0.479 0.674
Dy 0.000 0.308 0.808
Dy 0.500 0.808 0.692
Dy 0.500 0.192 0.308
Dy 0.000 0.692 0.192
Cd 0.500 0.500 0.000
Cd 0.000 0.000 0.500

=====

# 3
Here is Pr5Dy2Cd4 after structural relaxation from the Alexandria database. Energies are from PBE.

Results
Its formation energy is -76 meV per atom. The total moment comes out at 0.0 Bohr magnetons per cell. The calculation puts the uncorrected energy at -3.418 eV per atom. The volume comes out at 342.54 Å³ per cell.

Unit cell a=3.596 b=8.252 c=13.204 alpha=117.77 beta=97.83 gamma=90.00
Fractional coordinates of all 11 atoms:
Pr 0.185 0.870 0.370
Pr 0.815 0.130 0.630
Pr 0.139 0.243 0.278
Pr 0.500 0.000 0.000
Pr 0.861 0.757 0.722
Dy 0.422 0.514 0.844
Dy 0.578 0.486 0.156
Cd 0.723 0.614 0.447
Cd 0.044 0.750 0.088
Cd 0.277 0.386 0.553
Cd 0.956 0.250 0.912

=====

# 4
Here is Pr8Dy4Cd after structural relaxation from the Alexandria database. Energies are from PBE.

Results
Its formation energy is 108 meV per atom. The total moment comes out at 0.0 Bohr magnetons per cell. The calculation puts the uncorrected energy at -4.320 eV per atom. The volume comes out at 462.98 Å³ per cell.

Unit cell a=7.267 b=7.267 c=10.958 alpha=90.00 beta=109.37 gamma=120.00
Fractional coordinates of all 13 atoms:
Pr 0.551 0.775 0.326
Pr 0.449 0.225 0.674
Pr 0.513 0.257 0.280
Pr 0.976 0.233 0.720
Pr 0.487 0.743 0.720
Pr 0.976 0.743 0.720
Pr 0.024 0.257 0.280
Pr 0.024 0.767 0.280
Dy 0.000 0.000 0.000
Dy 0.000 0.500 0.000
Dy 0.500 0.500 0.000
Dy 0.500 0.000 0.000
Cd 0.000 0.500 0.500

=====

# 5
Here is PrDy2Cd after structural relaxation from the Alexandria database. Energies are from PBE.

Results
Its formation energy is -54 meV per atom. The total moment comes out at 0.0 Bohr magnetons per cell. The calculation puts the uncorrected energy at -3.779 eV per atom. The volume comes out at 124.25 Å³ per cell. Its energy relative to the lowest polymorph listed for this composition is 92 meV per atom.

Unit cell a=3.636 b=3.636 c=11.054 alpha=80.53 beta=80.53 gamma=60.00
Fractional coordinates of all 4 atoms:
Pr 0.500 0.500 0.500
Dy 0.075 0.075 0.774
Dy 0.258 0.258 0.226
Cd 0.667 0.667 0.000

=====

# 6
Here is PrDyCdPt after structural relaxation from the Alexandria database. Energies are from PBE.

Results
Its formation energy is -649 meV per atom. The total moment comes out at 0.0 Bohr magnetons per cell. The calculation puts the uncorrected energy at -4.734 eV per atom. The volume comes out at 99.35 Å³ per cell.

Unit cell a=5.199 b=5.199 c=5.199 alpha=60.00 beta=60.00 gamma=60.00
Fractional coordinates of all 4 atoms:
Pr 0.500 0.500 0.500
Cd 0.250 0.250 0.250
Pt 0.750 0.750 0.750
Dy 0.000 0.000 0.000

=====

# 7
Here is PrDyCdRh after structural relaxation from the Alexandria database. Energies are from PBE.

Results
Its formation energy is -454 meV per atom. The total moment comes out at 0.0 Bohr magnetons per cell. The calculation puts the uncorrected energy at -4.866 eV per atom. The volume comes out at 97.25 Å³ per cell.

Unit cell a=5.162 b=5.162 c=5.162 alpha=60.00 beta=60.00 gamma=60.00
Fractional coordinates of all 4 atoms:
Pr 0.000 0.000 0.000
Cd 0.750 0.750 0.750
Rh 0.250 0.250 0.250
Dy 0.500 0.500 0.500

=====

# 8
Here is PrDyCdRu after structural relaxation from the Alexandria database. Energies are from PBE.

Results
Its formation energy is -200 meV per atom. The total moment comes out at 0.0 Bohr magnetons per cell. The calculation puts the uncorrected energy at -5.093 eV per atom. The volume comes out at 95.83 Å³ per cell. Its energy relative to the lowest polymorph listed for this composition is 101 meV per atom.

Unit cell a=5.136 b=5.136 c=5.136 alpha=60.00 beta=60.00 gamma=60.00
Fractional coordinates of all 4 atoms:
Pr 0.500 0.500 0.500
Ru 0.750 0.750 0.750
Cd 0.250 0.250 0.250
Dy 0.000 0.000 0.000

=====

# 9
Here is PrDyCdRu after structural relaxation from the Alexandria database. Energies are from PBE.

Results
Its formation energy is -300 meV per atom. The total moment comes out at 0.0 Bohr magnetons per cell. The calculation puts the uncorrected energy at -5.194 eV per atom. The volume comes out at 97.56 Å³ per cell. Its energy relative to the lowest polymorph listed for this composition is 0 meV per atom.

Unit cell a=3.530 b=3.530 c=7.831 alpha=90.00 beta=90.00 gamma=90.00
Fractional coordinates of all 4 atoms:
Pr 0.500 0.500 0.787
Dy 0.500 0.500 0.354
Cd 0.000 0.000 0.087
Ru 0.000 0.000 0.556

=====

# 10
Here is PrDyCdSi after structural relaxation from the Alexandria database. Energies are from PBE.

Results
The total moment comes out at 0.0 Bohr magnetons per cell. The calculation puts the uncorrected energy at -4.305 eV per atom. The volume comes out at 99.86 Å³ per cell. The value obtained for the formation energy from raw total energies is -1.5 eV/f.u.

Unit cell a=5.208 b=5.208 c=5.208 alpha=60.00 beta=60.00 gamma=60.00
Fractional coordinates of all 4 atoms:
Pr 0.000 0.000 0.000
Si 0.250 0.250 0.250
Cd 0.750 0.750 0.750
Dy 0.500 0.500 0.500

=====

# 11
Here is PrSmDyCd after structural relaxation from the Alexandria database. Energies are from PBE.

Results
Its formation energy is -151 meV per atom. The total moment comes out at 0.0 Bohr magnetons per cell. The calculation puts the uncorrected energy at -3.905 eV per atom. The volume comes out at 122.69 Å³ per cell. Its energy relative to the lowest polymorph listed for this composition is 0 meV per atom.

Unit cell a=3.679 b=3.679 c=9.066 alpha=90.00 beta=90.00 gamma=90.00
Fractional coordinates of all 4 atoms:
Pr 0.000 0.000 0.076
Sm 0.500 0.500 0.793
Dy 0.500 0.500 0.352
Cd 0.000 0.000 0.565

=====

# 12
Here is PrSmDyCd after structural relaxation from the Alexandria database. Energies are from PBE.

Results
Its formation energy is -38 meV per atom. The total moment comes out at 0.0 Bohr magnetons per cell. The calculation puts the uncorrected energy at -3.792 eV per atom. The volume comes out at 121.15 Å³ per cell. Its energy relative to the lowest polymorph listed for this composition is 113 meV per atom.

Unit cell a=5.554 b=5.554 c=5.554 alpha=60.00 beta=60.00 gamma=60.00
Fractional coordinates of all 4 atoms:
Pr 0.000 0.000 0.000
Cd 0.250 0.250 0.250
Sm 0.500 0.500 0.500
Dy 0.750 0.750 0.750

=====

# 13
Here is Pr2DyCd2Sn2 after structural relaxation from the Alexandria database. Energies are from PBE.

Results
Its formation energy is -317 meV per atom. The total moment comes out at 0.0 Bohr magnetons per cell. The calculation puts the uncorrected energy at -3.745 eV per atom. The volume comes out at 199.06 Å³ per cell.

Unit cell a=5.031 b=5.031 c=9.535 alpha=74.70 beta=74.70 gamma=60.00
Fractional coordinates of all 7 atoms:
Pr 0.127 0.127 0.618
Pr 0.873 0.873 0.382
Dy 0.000 0.000 0.000
Cd 0.606 0.606 0.183
Cd 0.394 0.394 0.817
Sn 0.734 0.734 0.798
Sn 0.266 0.266 0.202

=====

# 14
Here is PrDyCdSn after structural relaxation from the Alexandria database. Energies are from PBE.

Results
Its formation energy is -512 meV per atom. The total moment comes out at 0.0 Bohr magnetons per cell. The calculation puts the uncorrected energy at -4.087 eV per atom. The volume comes out at 110.45 Å³ per cell.

Unit cell a=5.385 b=5.385 c=5.385 alpha=60.00 beta=60.00 gamma=60.00
Fractional coordinates of all 4 atoms:
Pr 0.000 0.000 0.000
Cd 0.750 0.750 0.750
Sn 0.250 0.250 0.250
Dy 0.500 0.500 0.500

=====

# 15
Here is TbPrDyCd after structural relaxation from the Alexandria database. Energies are from PBE.

Results
Its formation energy is -151 meV per atom. The total moment comes out at 0.0 Bohr magnetons per cell. The calculation puts the uncorrected energy at -3.883 eV per atom. The volume comes out at 120.65 Å³ per cell. Its energy relative to the lowest polymorph listed for this composition is 0 meV per atom.

Unit cell a=3.658 b=3.658 c=9.019 alpha=90.00 beta=90.00 gamma=90.00
Fractional coordinates of all 4 atoms:
Tb 0.500 0.500 0.791
Pr 0.000 0.000 0.072
Dy 0.500 0.500 0.352
Cd 0.000 0.000 0.570

=====

# 16
Here is TbPrDyCd after structural relaxation from the Alexandria database. Energies are from PBE.

Results
Its formation energy is -20 meV per atom. The total moment comes out at 0.0 Bohr magnetons per cell. The calculation puts the uncorrected energy at -3.752 eV per atom. The volume comes out at 119.14 Å³ per cell. Its energy relative to the lowest polymorph listed for this composition is 131 meV per atom.

Unit cell a=5.523 b=5.523 c=5.523 alpha=60.00 beta=60.00 gamma=60.00
Fractional coordinates of all 4 atoms:
Pr 0.000 0.000 0.000
Cd 0.750 0.750 0.750
Tb 0.250 0.250 0.250
Dy 0.500 0.500 0.500

=====

# 17
Here is PrDyThCd after structural relaxation from the Alexandria database. Energies are from PBE.

Results
Its formation energy is 88 meV per atom. The total moment comes out at 0.0 Bohr magnetons per cell. The calculation puts the uncorrected energy at -4.341 eV per atom. The volume comes out at 120.22 Å³ per cell. Its energy relative to the lowest polymorph listed for this composition is 249 meV per atom.

Unit cell a=5.540 b=5.540 c=5.540 alpha=60.00 beta=60.00 gamma=60.00
Fractional coordinates of all 4 atoms:
Pr 0.000 0.000 0.000
Cd 0.750 0.750 0.750
Th 0.250 0.250 0.250
Dy 0.500 0.500 0.500

=====

# 18
Here is PrDyThCd after structural relaxation from the Alexandria database. Energies are from PBE.

Results
Its formation energy is -161 meV per atom. The total moment comes out at 0.0 Bohr magnetons per cell. The calculation puts the uncorrected energy at -4.591 eV per atom. The volume comes out at 120.01 Å³ per cell. Its energy relative to the lowest polymorph listed for this composition is 0 meV per atom.

Unit cell a=3.645 b=3.645 c=9.035 alpha=90.00 beta=90.00 gamma=90.00
Fractional coordinates of all 4 atoms:
Pr 0.000 0.000 0.086
Dy 0.000 0.000 0.552
Th 0.500 0.500 0.813
Cd 0.500 0.500 0.333

=====

# 19
Here is PrDy2Tl2Cd2 after structural relaxation from the Alexandria database. Energies are from PBE.

Results
Its formation energy is -178 meV per atom. The total moment comes out at 0.0 Bohr magnetons per cell. The calculation puts the uncorrected energy at -3.113 eV per atom. The volume comes out at 194.71 Å³ per cell.

Unit cell a=5.044 b=5.044 c=9.305 alpha=74.27 beta=74.27 gamma=60.00
Fractional coordinates of all 7 atoms:
Pr 0.000 0.000 0.000
Dy 0.134 0.134 0.598
Dy 0.866 0.866 0.402
Tl 0.733 0.733 0.801
Tl 0.267 0.267 0.199
Cd 0.568 0.568 0.297
Cd 0.432 0.432 0.703

=====

# 20
Here is PrDyYCd after structural relaxation from the Alexandria database. Energies are from PBE.

Results
Its formation energy is -159 meV per atom. The total moment comes out at 0.0 Bohr magnetons per cell. The calculation puts the uncorrected energy at -4.349 eV per atom. The volume comes out at 120.78 Å³ per cell. Its energy relative to the lowest polymorph listed for this composition is 0 meV per atom.

Unit cell a=3.658 b=3.658 c=9.028 alpha=90.00 beta=90.00 gamma=90.00
Fractional coordinates of all 4 atoms:
Pr 0.000 0.000 0.073
Dy 0.500 0.500 0.352
Y 0.500 0.500 0.790
Cd 0.000 0.000 0.570